The following is a PBE calculation of SmCd3Au4 after structural relaxation, from Alexandria.

crystal system	orthorhombic
spin magnetization	0.000	μB per cell
E_tot	-47.368	eV/cell

CIF file:
```
data_SmCd3Au4
_chemical_formula_sum 'Sm2 Cd6 Au8'
_cell_length_a 9.759
_cell_length_b 7.054
_cell_length_c 4.882
_cell_angle_alpha 90.00
_cell_angle_beta 90.00
_cell_angle_gamma 90.00
_symmetry_space_group_name_H-M 'P m m a'
_symmetry_Int_Tables_number 51
_symmetry_space_group_name_Hall '-P 2a 2a'
loop_
_atom_site_label
_atom_site_type_symbol
_atom_site_fract_x
_atom_site_fract_y
_atom_site_fract_z
_atom_site_occupancy
Sm1 Sm 0.000 0.000 0.000 1
Cd1 Cd 0.000 0.500 0.000 1
Cd2 Cd 0.250 0.000 0.490 1
Cd3 Cd 0.250 0.500 0.484 1
Au1 Au 0.000 0.263 0.500 1
Au2 Au 0.250 0.263 0.984 1
```


The following is a PBE calculation of CsNa2Au after structural relaxation, from Alexandria.

crystal system	trigonal
spin magnetization	0.000	μB per cell
E_tot	-22.275	eV/cell

CIF file:
```
data_CsNa2Au
_chemical_formula_sum 'Cs3 Na6 Au3'
_cell_length_a 5.2853
_cell_length_b 5.2853
_cell_length_c 20.1050
_cell_angle_alpha 90.00
_cell_angle_beta 90.00
_cell_angle_gamma 120.00
_symmetry_space_group_name_H-M 'R 3 m'
_symmetry_Int_Tables_number 160
_symmetry_space_group_name_Hall 'R 3 -2"'
loop_
_atom_site_label
_atom_site_type_symbol
_atom_site_fract_x
_atom_site_fract_y
_atom_site_fract_z
_atom_site_occupancy
Cs1 Cs 0.0000 0.0000 0.0000 1
Na1 Na 0.0000 0.0000 0.5253 1
Na2 Na 0.0000 0.0000 0.8090 1
Au1 Au 0.0000 0.0000 0.1931 1
```


The following is a PBE calculation of Tl2AgHgI5 after structural relaxation, from Alexandria.

crystal system	orthorhombic
spin magnetization	0.000	μB per cell
formation energy without anion corrections	-424.1	meV/atom

CIF file:
```
data_Tl2AgHgI5
_chemical_formula_sum 'Tl8 Ag4 Hg4 I20'
_cell_length_a 4.515
_cell_length_b 21.756
_cell_length_c 14.465
_cell_angle_alpha 90.00
_cell_angle_beta 90.00
_cell_angle_gamma 90.00
_symmetry_space_group_name_H-M 'C m c 21'
_symmetry_Int_Tables_number 36
_symmetry_space_group_name_Hall 'C 2c -2'
loop_
_atom_site_label
_atom_site_type_symbol
_atom_site_fract_x
_atom_site_fract_y
_atom_site_fract_z
_atom_site_occupancy
Tl1 Tl 0.000 0.127 0.000 1
Tl2 Tl 0.000 0.137 0.371 1
Ag1 Ag 0.000 0.228 0.719 1
Hg1 Hg 0.000 0.434 0.118 1
I1 I 0.000 0.039 0.733 1
I2 I 0.000 0.295 0.347 1
I3 I 0.000 0.307 0.066 1
I4 I 0.000 0.358 0.689 1
I5 I 0.000 0.499 0.451 1
```


What is the formula in the third record? Tl2AgHgI5


spin magnetization of number 3 (Tl2AgHgI5)? 0.000 μB per cell